# 1
Compound: Dy4InOs
Source: Alexandria
Functional: GGA-PBE
Structure: relaxed

Output
**E**: -137.8 eV per cell
**Offset from the most stable computed form**: 0 meV per atom
**ΔH_f (0 K)**: -345 meV per atom

```
Dy4InOs
1.0
0.000 6.824 6.824
6.824 0.000 6.824
6.824 6.824 0.000
Dy In Os
16 4 4
direct
0.042 0.653 0.653
0.057 0.057 0.443
0.057 0.443 0.057
0.057 0.443 0.443
0.192 0.192 0.808
0.192 0.808 0.192
0.192 0.808 0.808
0.443 0.057 0.057
0.443 0.057 0.443
0.443 0.443 0.057
0.653 0.042 0.653
0.653 0.653 0.042
0.653 0.653 0.653
0.808 0.192 0.192
0.808 0.192 0.808
0.808 0.808 0.192
0.418 0.418 0.418
0.418 0.418 0.747
0.418 0.747 0.418
0.747 0.418 0.418
0.416 0.861 0.861
0.861 0.416 0.861
0.861 0.861 0.416
0.861 0.861 0.861
```

=====

# 2
Compound: Dy3InOs
Source: Alexandria
Functional: GGA-PBE
Structure: relaxed

Output
**E**: -57.9 eV per cell
**Offset from the most stable computed form**: 112 meV per atom
**ΔH_f (0 K)**: -238 meV per atom

```
Dy3InOs
1.0
6.485 -2.635 0.000
6.485 2.635 0.000
-3.518 0.000 7.730
Dy In Os
6 2 2
direct
0.069 0.069 0.235
0.225 0.225 0.733
0.410 0.410 0.127
0.590 0.590 0.873
0.775 0.775 0.267
0.931 0.931 0.765
0.374 0.374 0.497
0.626 0.626 0.503
0.178 0.178 0.025
0.822 0.822 0.975
```

=====

# 3
Compound: Dy5InOs2
Source: Alexandria
Functional: GGA-PBE
Structure: relaxed

Output
**E**: -101.7 eV per cell
**ΔH_f (0 K)**: -329 meV per atom

```
Dy5InOs2
1.0
-3.875 3.875 6.817
3.875 -3.875 6.817
3.875 3.875 -6.817
Dy In Os
10 2 4
direct
0.000 0.000 0.000
0.028 0.528 0.819
0.209 0.028 0.500
0.291 0.791 0.819
0.472 0.291 0.500
0.500 0.500 0.000
0.528 0.709 0.500
0.709 0.209 0.181
0.791 0.972 0.500
0.972 0.472 0.181
0.250 0.250 0.000
0.750 0.750 0.000
0.140 0.360 0.500
0.360 0.860 0.219
0.640 0.140 0.781
0.860 0.640 0.500
```

=====

# 4
Compound: Dy3InOs
Source: Alexandria
Functional: GGA-PBE
Structure: relaxed

Output
**E**: -59.1 eV per cell
**Offset from the most stable computed form**: 0 meV per atom
**ΔH_f (0 K)**: -350 meV per atom

```
Dy3InOs
1.0
0.000 4.809 8.133
3.279 0.000 8.133
3.279 4.809 0.000
Dy In Os
6 2 2
direct
0.197 0.579 0.421
0.201 0.201 0.799
0.421 0.803 0.197
0.579 0.197 0.803
0.799 0.799 0.201
0.803 0.421 0.579
0.210 0.790 0.790
0.790 0.210 0.210
0.250 0.250 0.250
0.750 0.750 0.750
```

=====

# 5
Compound: DyPuInOs
Source: Alexandria
Functional: GGA-PBE
Structure: relaxed

Output
**E**: -33.8 eV per cell
**Offset from the most stable computed form**: 0 meV per atom
**ΔH_f (0 K)**: -224 meV per atom

```
DyPuInOs
1.0
3.297 0.000 0.000
0.000 3.297 0.000
0.000 0.000 8.508
Dy Pu In Os
1 1 1 1
direct
0.000 0.000 0.000
0.000 0.000 0.587
0.500 0.500 0.292
0.500 0.500 0.791
```

=====

# 6
Compound: DyPuInOs
Source: Alexandria
Functional: GGA-PBE
Structure: relaxed

Output
**E**: -33.1 eV per cell
**Offset from the most stable computed form**: 183 meV per atom
**ΔH_f (0 K)**: -40 meV per atom

```
DyPuInOs
1.0
0.000 3.565 3.565
3.565 0.000 3.565
3.565 3.565 0.000
Dy Pu In Os
1 1 1 1
direct
0.000 0.000 0.000
0.500 0.500 0.500
0.250 0.250 0.250
0.750 0.750 0.750
```

=====

Which of these has the highest E? number 6